(1)
# TaCu2Os

Crystalline TaCu2Os at its relaxed geometry (PBE-GGA, the Alexandria database).

abc: 4.2883 4.2883 4.2883
angles: 60.00 60.00 60.00
Last column: nearest neighbours and their distance in Å.
Sites, in units of the cell vectors:
Os (0.5000, 0.5000, 0.5000)  8 Cu 2.63
Cu (0.7500, 0.7500, 0.7500)  4 Ta 2.63, 4 Os 2.63
Cu (0.2500, 0.2500, 0.2500)  4 Ta 2.63, 4 Os 2.63
Ta (0.0000, 0.0000, 0.0000)  8 Cu 2.63

Properties
Formation energy   0.257 eV per atom
Energy relative to the lowest polymorph listed for this composition   254 meV per atom
ρ   14.84 Mg/m³

(2)
# TaCu2Os

Crystalline TaCu2Os at its relaxed geometry (PBE-GGA, the Alexandria database).

abc: 2.6985 2.6985 8.5625
angles: 90.00 90.00 110.80
Last column: nearest neighbours and their distance in Å.
Sites, in units of the cell vectors:
Cu (0.0000, 0.0000, 0.0118)  6 Cu 2.50-2.70, 2 Ta 2.70
Cu (0.5000, 0.5000, 0.2424)  6 Cu 2.50-2.70, 2 Os 2.64
Ta (0.5000, 0.5000, 0.7529)  2 Cu 2.70, 4 Ta 2.70, 2 Os 2.70
Os (0.0000, 0.0000, 0.4929)  2 Cu 2.64, 4 Os 2.70, 2 Ta 2.70

Properties
Formation energy   0.223 eV per atom
Energy relative to the lowest polymorph listed for this composition   220 meV per atom
ρ   14.19 Mg/m³

(3)
# TaCu2Os

Crystalline TaCu2Os at its relaxed geometry (PBE-GGA, the Alexandria database).

abc: 3.2725 3.2725 5.2857
angles: 90.00 90.00 90.00
Last column: nearest neighbours and their distance in Å.
Sites, in units of the cell vectors:
Os (0.5000, 0.5000, 0.2500)  2 Ta 2.64, 8 Cu 2.65
Ta (0.5000, 0.5000, 0.7500)  2 Os 2.64, 8 Cu 2.68
Cu (0.0000, 0.0000, 0.4931)  2 Cu 2.57-2.72, 4 Os 2.65, 4 Ta 2.68
Cu (0.0000, 0.0000, 0.0069)  2 Cu 2.57-2.72, 4 Os 2.65, 4 Ta 2.68

Properties
Formation energy   0.288 eV per atom
Energy relative to the lowest polymorph listed for this composition   286 meV per atom
ρ   14.62 Mg/m³